The following is a DFT calculation (PBE+U) of crystalline Mn2ZnGaO6 at its relaxed geometry.

Unit cell a=5.0194 b=5.1016 c=5.3457 alpha=116.42 beta=90.00 gamma=118.73
Closest atoms and distances in Å follow each position.
Element x y z (fractional)
Mn  0.0000  0.0000  0.0000  6 O 1.92-1.98
Mn  0.4934  0.9841  0.4786  5 O 1.95-2.14
Zn  0.2196  0.4437  0.6412  4 O 1.99-2.20
Ga  0.7004  0.4012  0.0940  6 O 1.93-2.14
O  0.0829  0.4683  0.2641  1 Ga 1.93, 2 Mn 1.98-2.14
O  0.2840  0.1657  0.7806  2 Mn 1.96-2.04, 1 Zn 2.01, 1 Ga 2.10
O  0.3922  0.1733  0.2696  1 Ga 1.97, 2 Mn 1.97-1.98
O  0.6258  0.9107  0.7828  2 Mn 1.95-2.00, 1 Zn 2.03, 1 Ga 2.14
O  0.7675  0.8629  0.2628  2 Mn 1.95-1.98, 1 Ga 1.95
O  0.8913  0.5277  0.7972  1 Mn 1.92, 1 Zn 1.99, 1 Ga 2.04

Uncorrected energy ... -0.2356 hartree per atom
DOS(E_F) ... 0.047 states/eV/atom
SG ... P1 (1)